The following is a DFT calculation (PBE+U) of Pu2Tl3NiO9 after structural relaxation.

As for the density of states at the Fermi level: 6.23 states/eV/cell. For the magnetic moment, the calculation gives 5.0 μB/f.u. Its total energy is -7.19 eV/atom.

It has space group P-3m1 (No. 164), with a = 5.9563 Å, b = 5.9563 Å, c = 7.3291 Å, α = 90.00°, β = 90.00° and γ = 120.00°. Symmetry generates all atoms from Pu at (0.3333, 0.6667, 0.1737), Tl at (0.0000, 0.0000, 0.0000), Tl at (0.3333, 0.6667, 0.6552), Ni at (0.0000, 0.0000, 0.5000), O at (0.0000, 0.5000, 0.0000) and O at (0.1720, 0.3439, 0.3269).